VASP calculation (PBE+U) on a relaxed AcTlCr2O8 crystal.

Lattice parameters (Å, degrees): 6.003 6.003 8.092 90.00 90.00 120.00
Positions (direct):
Cr 0.333 0.667 0.731
Cr 0.667 0.333 0.269
O 0.819 0.639 0.200
O 0.333 0.667 0.531
O 0.181 0.819 0.800
O 0.361 0.181 0.200
O 0.639 0.819 0.800
O 0.667 0.333 0.469
O 0.819 0.181 0.200
O 0.181 0.361 0.800
Ac 0.000 0.000 0.000
Tl 0.000 0.000 0.500

Output
**Mass density**: 4.361 g/cm3
**Electronic total energy**: -0.5012 Ry per atom